Entry 1:
A relaxed structure of Mg2TeP. Source: the Alexandria database, functional PBE-GGA.

Cell and atoms, written as CIF:
```
data_Mg2TeP
_cell_length_a 6.610
_cell_length_b 3.829
_cell_length_c 7.462
_cell_angle_alpha 90.00
_cell_angle_beta 107.25
_cell_angle_gamma 90.00
_space_group_name_H-M_alt 'C 1 2/m 1'
_space_group_IT_number 12
loop_
_space_group_symop_operation_xyz
'x,y,z'
'-x,-y,-z'
'-x,y,-z'
'x,-y,z'
'x+1/2,y+1/2,z'
'-x+1/2,-y+1/2,-z'
'-x+1/2,y+1/2,-z'
'x+1/2,-y+1/2,z'
loop_
_atom_site_label
_atom_site_type_symbol
_atom_site_fract_x
_atom_site_fract_y
_atom_site_fract_z
Mg1 Mg 0.231 0.000 0.194
Te1 Te 0.000 0.000 0.500
P1 P 0.000 0.500 0.000
```

Output
Total magnetization = 0.00 μB/cell
E_tot = -3.457 eV per atom
Energy relative to the elements, uncorrected = -2.088 eV/f.u.

---

Entry 2:
A relaxed structure of Nb2CdSi2. Source: the Alexandria database, functional PBE-GGA.

Cell and atoms, written as CIF:
```
data_Nb2CdSi2
_cell_length_a 6.897
_cell_length_b 6.897
_cell_length_c 3.489
_cell_angle_alpha 90.00
_cell_angle_beta 90.00
_cell_angle_gamma 90.00
_space_group_name_H-M_alt 'P 4/m b m'
_space_group_IT_number 127
_space_group_name_Hall '-P 4 2ab'
loop_
_atom_site_label
_atom_site_type_symbol
_atom_site_fract_x
_atom_site_fract_y
_atom_site_fract_z
Nb1 Nb 0.164 0.336 0.000
Cd1 Cd 0.000 0.000 0.500
Si1 Si 0.126 0.626 0.500
```

Output
Total magnetization = 0.00 μB/cell
E_tot = -6.640 eV per atom
Energy relative to the elements, uncorrected = -1.301 eV/f.u.